# 1
# TbErFeNi

TbErFeNi after structural relaxation (GGA-PBE, the Alexandria database).

## Properties
The formation energy is -0.094 eV/atom. The volume comes out at 74 Å³ per cell.

abc: 4.722 4.722 4.722
angles: 60.00 60.00 60.00
Element x y z (fractional)
1 Tb 0.000 0.000 0.000
2 Er 0.500 0.500 0.500
3 Fe 0.750 0.750 0.750
4 Ni 0.250 0.250 0.250


# 2
# TeRhN2Cl

TeRhN2Cl after structural relaxation (GGA-PBE, the Alexandria database).

## Properties
The calculation puts the uncorrected energy at -4.769 eV per atom. The volume comes out at 87 Å³ per cell.

abc: 3.881 3.881 5.800
angles: 90.00 90.00 90.00
Element x y z (fractional)
1 Te 0.000 0.000 0.000
2 Rh 0.000 0.000 0.500
3 N 0.000 0.500 0.500
4 N 0.500 0.000 0.500
5 Cl 0.500 0.500 0.000


# 3
# Er5InAg2

Er5InAg2 after structural relaxation (GGA-PBE, the Alexandria database).

## Properties
The formation energy is -0.259 eV/atom. The volume comes out at 424 Å³ per cell.

abc: 8.750 8.750 8.750
angles: 125.96 125.96 79.95
Element x y z (fractional)
1 Er 0.000 0.000 0.000
2 Er 0.005 0.505 0.811
3 Er 0.194 0.005 0.500
4 Er 0.306 0.806 0.811
5 Er 0.495 0.306 0.500
6 Er 0.500 0.500 0.000
7 Er 0.505 0.694 0.500
8 Er 0.694 0.194 0.189
9 Er 0.806 0.995 0.500
10 Er 0.995 0.495 0.189
11 In 0.250 0.250 0.000
12 In 0.750 0.750 0.000
13 Ag 0.134 0.366 0.500
14 Ag 0.366 0.866 0.233
15 Ag 0.634 0.134 0.767
16 Ag 0.866 0.634 0.500